Record 1
The following is a DFT calculation (PBE-GGA) of ScSiPb2 after structural relaxation.

Structure (POSCAR):
```
ScSiPb2
1.0
8.274 0.000 0.000
0.000 8.274 0.000
0.000 0.000 6.013
Sc Si Pb
4 4 8
direct
0.000 0.000 0.000 Sc
0.000 0.500 0.250 Sc
0.500 0.000 0.750 Sc
0.500 0.500 0.500 Sc
0.000 0.000 0.500 Si
0.000 0.500 0.750 Si
0.500 0.000 0.250 Si
0.500 0.500 0.000 Si
0.217 0.250 0.625 Pb
0.250 0.717 0.875 Pb
0.250 0.783 0.375 Pb
0.283 0.250 0.125 Pb
0.717 0.750 0.125 Pb
0.750 0.217 0.375 Pb
0.750 0.283 0.875 Pb
0.783 0.750 0.625 Pb
```

Results
SG: No. 122
Electronic total energy: -4.63 eV/atom
Energy relative to the elements, uncorrected: 3.8 kcal/mol of atoms
Density of states at the Fermi level: 12.07 states/eV/cell

Record 2
The following is a DFT calculation (PBE-GGA) of Er7In2Pt2 after structural relaxation.

Structure (POSCAR):
```
Er7In2Pt2
1.0
4.097 -5.479 0.000
4.097 5.479 0.000
0.000 0.000 7.004
Er In Pt
7 2 2
direct
0.000 0.000 0.000 Er
0.000 0.500 0.252 Er
0.000 0.500 0.748 Er
0.500 0.000 0.252 Er
0.500 0.000 0.748 Er
0.500 0.500 0.245 Er
0.500 0.500 0.755 Er
0.176 0.176 0.500 In
0.824 0.824 0.500 In
0.288 0.712 0.000 Pt
0.712 0.288 0.000 Pt
```

Results
SG: No. 65
Electronic total energy: -5.06 eV/atom
E_form: -6.17 eV/f.u.
Density of states at the Fermi level: 9.72 states/eV/cell

Record 3
The following is a DFT calculation (PBE-GGA) of Mg3MnPb after structural relaxation.

Structure (POSCAR):
```
Mg3MnPb
1.0
4.974 0.000 0.000
0.000 4.974 0.000
0.000 0.000 4.974
Mg Mn Pb
3 1 1
direct
0.000 0.000 0.500 Mg
0.000 0.500 0.000 Mg
0.500 0.000 0.000 Mg
0.000 0.000 0.000 Mn
0.500 0.500 0.500 Pb
```

Results
SG: No. 221
Electronic total energy: -2.83 eV/atom
Polymorph energy (0 for the lowest one): 0 meV per atom
E_form: 3.53 eV/f.u.
Density of states at the Fermi level: 9.83 states/eV/cell

Record 4
The following is a DFT calculation (PBE-GGA) of Fe2Sb after structural relaxation.

Structure (POSCAR):
```
Fe2Sb
1.0
5.959 0.000 0.000
0.000 5.959 0.000
0.000 0.000 5.959
Fe Sb
8 4
direct
0.250 0.250 0.250 Fe
0.250 0.250 0.750 Fe
0.250 0.750 0.250 Fe
0.250 0.750 0.750 Fe
0.750 0.250 0.250 Fe
0.750 0.250 0.750 Fe
0.750 0.750 0.250 Fe
0.750 0.750 0.750 Fe
0.000 0.000 0.000 Sb
0.000 0.500 0.500 Sb
0.500 0.000 0.500 Sb
0.500 0.500 0.000 Sb
```

Results
SG: No. 225
Electronic total energy: -6.50 eV/atom
Energy relative to the elements, uncorrected: 12.0 kcal/mol of atoms
Density of states at the Fermi level: 22.11 states/eV/cell

Record 5
The following is a DFT calculation (PBE-GGA) of Cd3As3Pb after structural relaxation.

Structure (POSCAR):
```
Cd3As3Pb
1.0
3.862 2.230 7.376
-3.862 2.230 7.376
0.000 -4.460 7.376
Cd As Pb
6 6 2
direct
0.051 0.373 0.710 Cd
0.290 0.949 0.627 Cd
0.373 0.710 0.051 Cd
0.627 0.290 0.949 Cd
0.710 0.051 0.373 Cd
0.949 0.627 0.290 Cd
0.078 0.755 0.423 As
0.245 0.577 0.922 As
0.423 0.078 0.755 As
0.577 0.922 0.245 As
0.755 0.423 0.078 As
0.922 0.245 0.577 As
0.166 0.166 0.166 Pb
0.834 0.834 0.834 Pb
```

Results
SG: No. 148
Electronic total energy: -2.93 eV/atom
E_form: -0.08 eV/f.u.
Density of states at the Fermi level: 8.22 states/eV/cell

Record 6
The following is a DFT calculation (PBE-GGA) of LiPuUTe3 after structural relaxation.

Structure (POSCAR):
```
LiPuUTe3
1.0
9.078 0.000 0.000
0.000 4.236 0.000
-2.396 0.000 9.176
Li Pu U Te
2 2 2 6
direct
0.085 0.250 0.085 Li
0.915 0.750 0.915 Li
0.179 0.250 0.730 Pu
0.821 0.750 0.270 Pu
0.337 0.750 0.348 U
0.663 0.250 0.652 U
0.094 0.250 0.374 Te
0.232 0.750 0.004 Te
0.427 0.750 0.687 Te
0.573 0.250 0.313 Te
0.768 0.250 0.996 Te
0.906 0.750 0.626 Te
```

Results
SG: No. 11
Electronic total energy: -6.98 eV/atom
Energy relative to the elements, uncorrected: -19.0 kcal/mol of atoms
Density of states at the Fermi level: 33.81 states/eV/cell

Listing ρ for the structures above in their given order: 7.86; 9.46; 4.52; 7.33; 6.70; 8.20 g cm⁻³.